[1]
Entry from the Open Quantum Materials Database: a geometry-optimized ErMg structure (GGA-PBE).

* crystal system: cubic
* size of the total moment: 0.023 μB/atom
* total DFT energy (no corrections): -3.119 eV/atom

a = 3.763 Å, b = 3.763 Å, c = 3.763 Å
α = 90.00°, β = 90.00°, γ = 90.00°
Space group Pm-3m (No. 221)
Asymmetric unit:
Er (0.000, 0.000, 0.000)
Mg (0.500, 0.500, 0.500)

[2]
Entry from the Open Quantum Materials Database: a geometry-optimized ErMg structure (GGA-PBE).

* crystal system: cubic
* size of the total moment: 0.000 μB/atom
* total DFT energy (no corrections): -2.627 eV/atom

a = 6.190 Å, b = 6.190 Å, c = 6.190 Å
α = 90.00°, β = 90.00°, γ = 90.00°
Space group Fm-3m (No. 225)
Asymmetric unit:
Er (0.000, 0.000, 0.000)
Mg (0.000, 0.000, 0.500)

[3]
Entry from the Open Quantum Materials Database: a geometry-optimized ErMg2 structure (GGA-PBE).

* crystal system: orthorhombic
* size of the total moment: 0.001 μB/atom
* total DFT energy (no corrections): -2.535 eV/atom

a = 9.714 Å, b = 5.880 Å, c = 5.388 Å
α = 90.00°, β = 90.00°, γ = 90.00°
Space group Cmcm (No. 63)
Asymmetric unit:
Er (0.000, 0.169, 0.250)
Mg (0.166, 0.341, 0.750)

[4]
Entry from the Open Quantum Materials Database: a geometry-optimized Er5Mg structure (GGA-PBE).

* crystal system: hexagonal
* size of the total moment: 0.008 μB/atom
* total DFT energy (no corrections): -3.625 eV/atom

a = 6.3905 Å, b = 6.3905 Å, c = 5.6298 Å
α = 90.00°, β = 90.00°, γ = 120.00°
Space group P6/mmm (No. 191)
Asymmetric unit:
Er (0.0000, 0.5000, 0.0000)
Er (0.3333, 0.6667, 0.5000)
Mg (0.0000, 0.0000, 0.5000)

[5]
Entry from the Open Quantum Materials Database: a geometry-optimized ErMg structure (GGA-PBE).

* crystal system: cubic
* size of the total moment: 0.002 μB/atom
* total DFT energy (no corrections): -1.781 eV/atom

a = 7.078 Å, b = 7.078 Å, c = 7.078 Å
α = 90.00°, β = 90.00°, γ = 90.00°
Space group F-43m (No. 216)
Asymmetric unit:
Er (0.000, 0.000, 0.000)
Mg (0.250, 0.250, 0.750)

[6]
Entry from the Open Quantum Materials Database: a geometry-optimized ErMg2 structure (GGA-PBE).

* crystal system: monoclinic
* size of the total moment: 0.005 μB/atom
* total DFT energy (no corrections): -2.551 eV/atom

a = 8.780 Å, b = 5.309 Å, c = 13.490 Å
α = 90.00°, β = 99.86°, γ = 90.00°
Space group P2_1/m (No. 11)
Asymmetric unit:
Er (0.116, 0.250, 0.270)
Er (0.120, 0.250, 0.760)
Er (0.220, 0.750, 0.906)
Er (0.256, 0.750, 0.653)
Mg (0.099, 0.250, 0.513)
Mg (0.116, 0.250, 0.017)
Mg (0.206, 0.750, 0.150)
Mg (0.223, 0.750, 0.404)
Mg (0.425, 0.250, 0.453)
Mg (0.436, 0.250, 0.165)
Mg (0.447, 0.250, 0.927)
Mg (0.480, 0.250, 0.694)

[7]
Entry from the Open Quantum Materials Database: a geometry-optimized ErMg structure (GGA-PBE).

* crystal system: orthorhombic
* size of the total moment: 0.007 μB/atom
* total DFT energy (no corrections): -3.092 eV/atom

a = 3.565 Å, b = 5.365 Å, c = 11.272 Å
α = 90.00°, β = 90.00°, γ = 90.00°
Space group Pmmn (No. 59, origin choice 2)
Asymmetric unit:
Er (0.250, 0.250, 0.040)
Er (0.250, 0.750, 0.230)
Mg (0.250, 0.250, 0.519)
Mg (0.250, 0.750, 0.706)

[8]
Entry from the Open Quantum Materials Database: a geometry-optimized Er2Mg3 structure (GGA-PBE).

* crystal system: trigonal
* size of the total moment: 0.002 μB/atom
* total DFT energy (no corrections): -2.398 eV/atom

a = 9.1502 Å, b = 9.1502 Å, c = 11.7873 Å
α = 90.00°, β = 90.00°, γ = 120.00°
Space group R-3c (No. 167, hexagonal axes)
Asymmetric unit:
Er (0.0000, 0.0000, 0.1247)
Mg (0.0000, 0.3186, 0.2500)